# 1
The following is a DFT calculation (PBE) of a geometry-optimized Ac4SiSeCl2 structure.

abc: 7.554 4.524 7.803
angles: 90.00 110.29 90.00
Sites, in units of the cell vectors:
1 Ac 0.234 0.000 0.235
2 Ac 0.237 0.500 0.756
3 Ac 0.763 0.500 0.244
4 Ac 0.766 0.000 0.765
5 Si 0.000 0.500 0.000
6 Se 0.000 0.000 0.500
7 Cl 0.500 0.000 0.000
8 Cl 0.500 0.500 0.500

Calculated values
- Space-group type: P2/m, No. 10

# 2
The following is a DFT calculation (PBE) of a geometry-optimized Ac2SiCl structure.

abc: 8.283 8.283 8.283
angles: 31.09 31.09 31.09
Sites, in units of the cell vectors:
1 Ac 0.000 0.000 0.000
2 Ac 0.191 0.191 0.191
3 Si 0.595 0.595 0.595
4 Cl 0.766 0.766 0.766

Calculated values
- Space-group type: R3m, No. 160
- Energy above the lowest structure with this stoichiometry: 0.24 eV/f.u.

# 3
The following is a DFT calculation (PBE) of a geometry-optimized Ac3Si2Cl3 structure.

abc: 9.271 9.271 5.989
angles: 90.00 90.00 120.00
Sites, in units of the cell vectors:
1 Ac 0.000 0.368 0.250
2 Ac 0.000 0.632 0.750
3 Ac 0.368 0.000 0.250
4 Ac 0.368 0.368 0.750
5 Ac 0.632 0.000 0.750
6 Ac 0.632 0.632 0.250
7 Si 0.333 0.667 0.000
8 Si 0.333 0.667 0.500
9 Si 0.667 0.333 0.000
10 Si 0.667 0.333 0.500
11 Cl 0.000 0.238 0.750
12 Cl 0.000 0.762 0.250
13 Cl 0.238 0.000 0.750
14 Cl 0.238 0.238 0.250
15 Cl 0.762 0.000 0.250
16 Cl 0.762 0.762 0.750

Calculated values
- Space-group type: P6_3/mcm, No. 193

# 4
The following is a DFT calculation (PBE) of a geometry-optimized Ac3SiCl structure.

abc: 8.573 7.029 12.216
angles: 90.00 107.95 90.00
Sites, in units of the cell vectors:
1 Ac 0.044 0.149 0.191
2 Ac 0.044 0.351 0.691
3 Ac 0.361 0.205 0.982
4 Ac 0.361 0.295 0.482
5 Ac 0.369 0.617 0.187
6 Ac 0.369 0.883 0.687
7 Ac 0.631 0.117 0.313
8 Ac 0.631 0.383 0.813
9 Ac 0.639 0.705 0.518
10 Ac 0.639 0.795 0.018
11 Ac 0.956 0.649 0.309
12 Ac 0.956 0.851 0.809
13 Si 0.302 0.620 0.881
14 Si 0.302 0.880 0.381
15 Si 0.698 0.120 0.619
16 Si 0.698 0.380 0.119
17 Cl 0.015 0.732 0.570
18 Cl 0.015 0.768 0.070
19 Cl 0.985 0.232 0.930
20 Cl 0.985 0.268 0.430

Calculated values
- Space-group type: P2_1/c, No. 14

# 5
The following is a DFT calculation (PBE) of a geometry-optimized Ac2SiCl structure.

abc: 3.821 3.821 7.907
angles: 90.00 90.00 90.00
Sites, in units of the cell vectors:
1 Ac 0.000 0.000 0.226
2 Ac 0.000 0.000 0.774
3 Si 0.500 0.500 0.000
4 Cl 0.500 0.500 0.500

Calculated values
- Space-group type: P4/mmm, No. 123
- Energy above the lowest structure with this stoichiometry: 1.01 eV/f.u.

# 6
The following is a DFT calculation (PBE) of a geometry-optimized Ac2SiCl structure.

abc: 7.638 7.638 7.638
angles: 34.80 34.80 34.80
Sites, in units of the cell vectors:
1 Ac 0.243 0.243 0.243
2 Ac 0.757 0.757 0.757
3 Si 0.500 0.500 0.500
4 Cl 0.000 0.000 0.000

Calculated values
- Space-group type: R-3m, No. 166
- Energy above the lowest structure with this stoichiometry: 0.00 eV/f.u.

# 7
The following is a DFT calculation (PBE) of a geometry-optimized Ac8Si5Cl structure.

abc: 8.353 8.353 8.353
angles: 109.73 109.73 108.95
Sites, in units of the cell vectors:
1 Ac 0.000 0.620 0.758
2 Ac 0.236 0.488 0.107
3 Ac 0.380 0.138 0.380
4 Ac 0.381 0.130 0.893
5 Ac 0.512 0.619 0.749
6 Ac 0.758 0.000 0.620
7 Ac 0.862 0.242 0.242
8 Ac 0.870 0.764 0.251
9 Si 0.000 0.000 0.000
10 Si 0.131 0.251 0.627
11 Si 0.496 0.869 0.119
12 Si 0.624 0.504 0.373
13 Si 0.749 0.376 0.881
14 Cl 0.250 0.750 0.500

Calculated values
- Space-group type: I-4, No. 82

# 8
The following is a DFT calculation (PBE) of a geometry-optimized Ac2SiCl structure.

abc: 10.082 10.082 7.722
angles: 104.25 104.25 127.61
Sites, in units of the cell vectors:
1 Ac 0.055 0.431 0.766
2 Ac 0.177 0.302 0.230
3 Ac 0.302 0.177 0.730
4 Ac 0.431 0.055 0.266
5 Ac 0.569 0.945 0.734
6 Ac 0.698 0.823 0.270
7 Ac 0.823 0.698 0.770
8 Ac 0.945 0.569 0.234
9 Si 0.061 0.939 0.250
10 Si 0.315 0.685 0.250
11 Si 0.685 0.315 0.750
12 Si 0.939 0.061 0.750
13 Cl 0.185 0.815 0.750
14 Cl 0.441 0.559 0.750
15 Cl 0.559 0.441 0.250
16 Cl 0.815 0.185 0.250

Calculated values
- Space-group type: C2/c, No. 15
- Energy above the lowest structure with this stoichiometry: 0.02 eV/f.u.

# 9
The following is a DFT calculation (PBE) of a geometry-optimized Ac2SiCl structure.

abc: 5.430 5.430 5.430
angles: 60.00 60.00 60.00
Sites, in units of the cell vectors:
1 Ac 0.250 0.250 0.250
2 Ac 0.750 0.750 0.750
3 Si 0.000 0.000 0.000
4 Cl 0.500 0.500 0.500

Calculated values
- Space-group type: Fm-3m, No. 225
- Energy above the lowest structure with this stoichiometry: 0.62 eV/f.u.

# 10
The following is a DFT calculation (PBE) of a geometry-optimized Ac2SiCl2 structure.

abc: 9.433 9.221 8.095
angles: 90.00 113.46 90.00
Sites, in units of the cell vectors:
1 Ac 0.018 0.147 0.292
2 Ac 0.018 0.353 0.792
3 Ac 0.394 0.620 0.759
4 Ac 0.394 0.880 0.259
5 Ac 0.606 0.120 0.741
6 Ac 0.606 0.380 0.241
7 Ac 0.982 0.647 0.208
8 Ac 0.982 0.853 0.708
9 Si 0.201 0.637 0.998
10 Si 0.201 0.863 0.498
11 Si 0.799 0.137 0.502
12 Si 0.799 0.363 0.002
13 Cl 0.158 0.074 0.993
14 Cl 0.158 0.426 0.493
15 Cl 0.383 0.215 0.374
16 Cl 0.383 0.285 0.874
17 Cl 0.617 0.715 0.126
18 Cl 0.617 0.785 0.626
19 Cl 0.842 0.574 0.507
20 Cl 0.842 0.926 0.007

Calculated values
- Space-group type: P2_1/c, No. 14
- Energy above the lowest structure with this stoichiometry: 0.74 eV/f.u.

# 11
The following is a DFT calculation (PBE) of a geometry-optimized Ac4Si2Cl5 structure.

abc: 12.327 12.327 8.457
angles: 101.63 101.63 20.73
Sites, in units of the cell vectors:
1 Ac 0.004 0.004 0.272
2 Ac 0.340 0.340 0.533
3 Ac 0.660 0.660 0.467
4 Ac 0.996 0.996 0.728
5 Si 0.451 0.451 0.463
6 Si 0.549 0.549 0.537
7 Cl 0.129 0.129 0.231
8 Cl 0.226 0.226 0.662
9 Cl 0.500 0.500 0.000
10 Cl 0.774 0.774 0.338
11 Cl 0.871 0.871 0.769

Calculated values
- Space-group type: C2/m, No. 12

# 12
The following is a DFT calculation (PBE) of a geometry-optimized Ac2Si2Cl structure.

abc: 8.870 8.870 8.870
angles: 28.04 28.04 28.04
Sites, in units of the cell vectors:
1 Ac 0.079 0.079 0.079
2 Ac 0.921 0.921 0.921
3 Si 0.333 0.333 0.333
4 Si 0.667 0.667 0.667
5 Cl 0.500 0.500 0.500

Calculated values
- Space-group type: R-3m, No. 166
- Energy above the lowest structure with this stoichiometry: 0.26 eV/f.u.

# 13
The following is a DFT calculation (PBE) of a geometry-optimized Ac2SiCl2 structure.

abc: 4.597 4.597 9.253
angles: 90.00 90.00 120.00
Sites, in units of the cell vectors:
1 Ac 0.333 0.667 0.311
2 Ac 0.667 0.333 0.689
3 Si 0.000 0.000 0.500
4 Cl 0.333 0.667 0.857
5 Cl 0.667 0.333 0.143

Calculated values
- Space-group type: P-3m1, No. 164
- Energy above the lowest structure with this stoichiometry: 0.00 eV/f.u.

# 14
The following is a DFT calculation (PBE) of a geometry-optimized Ac2Si2Cl structure.

abc: 8.852 8.852 4.209
angles: 90.00 90.00 153.26
Sites, in units of the cell vectors:
1 Ac 0.142 0.858 0.000
2 Ac 0.858 0.142 0.000
3 Si 0.288 0.712 0.500
4 Si 0.712 0.288 0.500
5 Cl 0.000 0.000 0.500

Calculated values
- Space-group type: Cmmm, No. 65
- Energy above the lowest structure with this stoichiometry: 0.00 eV/f.u.

# 15
The following is a DFT calculation (PBE) of a geometry-optimized Ac3Si2Cl structure.

abc: 4.709 10.328 8.283
angles: 90.00 106.37 90.00
Sites, in units of the cell vectors:
1 Ac 0.122 0.054 0.246
2 Ac 0.122 0.446 0.246
3 Ac 0.368 0.250 0.734
4 Ac 0.632 0.750 0.266
5 Ac 0.878 0.554 0.754
6 Ac 0.878 0.946 0.754
7 Si 0.019 0.750 0.037
8 Si 0.500 0.000 0.000
9 Si 0.500 0.500 0.000
10 Si 0.981 0.250 0.963
11 Cl 0.288 0.750 0.577
12 Cl 0.712 0.250 0.423

Calculated values
- Space-group type: P2_1/m, No. 11

# 16
The following is a DFT calculation (PBE) of a geometry-optimized SrAcSiCl structure.

abc: 5.447 5.447 5.447
angles: 60.00 60.00 60.00
Sites, in units of the cell vectors:
1 Sr 0.000 0.000 0.000
2 Ac 0.500 0.500 0.500
3 Si 0.250 0.250 0.250
4 Cl 0.750 0.750 0.750

Calculated values
- Space-group type: F-43m, No. 216

# 17
The following is a DFT calculation (PBE) of a geometry-optimized Ac3SiTeCl structure.

abc: 9.344 4.637 10.074
angles: 90.00 100.11 90.00
Sites, in units of the cell vectors:
1 Ac 0.074 0.250 0.343
2 Ac 0.221 0.250 0.969
3 Ac 0.380 0.750 0.634
4 Ac 0.620 0.250 0.366
5 Ac 0.779 0.750 0.031
6 Ac 0.926 0.750 0.657
7 Si 0.160 0.250 0.658
8 Si 0.840 0.750 0.342
9 Te 0.334 0.750 0.285
10 Te 0.666 0.250 0.715
11 Cl 0.406 0.750 0.927
12 Cl 0.594 0.250 0.073

Calculated values
- Space-group type: P2_1/m, No. 11

# 18
The following is a DFT calculation (PBE) of a geometry-optimized Ac8Si3Te4Cl structure.

abc: 9.395 9.395 9.395
angles: 58.77 58.77 58.77
Sites, in units of the cell vectors:
1 Ac 0.230 0.748 0.748
2 Ac 0.241 0.241 0.241
3 Ac 0.252 0.252 0.770
4 Ac 0.252 0.770 0.252
5 Ac 0.748 0.230 0.748
6 Ac 0.748 0.748 0.230
7 Ac 0.759 0.759 0.759
8 Ac 0.770 0.252 0.252
9 Si 0.000 0.000 0.500
10 Si 0.000 0.500 0.000
11 Si 0.500 0.000 0.000
12 Te 0.000 0.000 0.000
13 Te 0.000 0.500 0.500
14 Te 0.500 0.000 0.500
15 Te 0.500 0.500 0.000
16 Cl 0.500 0.500 0.500

Calculated values
- Space-group type: R-3m, No. 166

# 19
The following is a DFT calculation (PBE) of a geometry-optimized Ac4SiTeCl2 structure.

abc: 7.447 4.499 8.313
angles: 90.00 109.36 90.00
Sites, in units of the cell vectors:
1 Ac 0.239 0.000 0.222
2 Ac 0.252 0.500 0.778
3 Ac 0.748 0.500 0.222
4 Ac 0.761 0.000 0.778
5 Si 0.000 0.500 0.000
6 Te 0.000 0.000 0.500
7 Cl 0.500 0.000 0.000
8 Cl 0.500 0.500 0.500

Calculated values
- Space-group type: P2/m, No. 10

# 20
The following is a DFT calculation (PBE) of a geometry-optimized Ac4SiTe2Cl structure.

abc: 7.821 4.588 8.190
angles: 90.00 108.97 90.00
Sites, in units of the cell vectors:
1 Ac 0.232 0.000 0.222
2 Ac 0.245 0.500 0.772
3 Ac 0.755 0.500 0.228
4 Ac 0.768 0.000 0.778
5 Si 0.000 0.500 0.000
6 Te 0.000 0.000 0.500
7 Te 0.500 0.500 0.500
8 Cl 0.500 0.000 0.000

Calculated values
- Space-group type: P2/m, No. 10

# 21
The following is a DFT calculation (PBE) of a geometry-optimized Ac6Si2TeCl3 structure.

abc: 9.942 9.942 8.953
angles: 98.82 98.82 26.55
Sites, in units of the cell vectors:
1 Ac 0.009 0.009 0.268
2 Ac 0.326 0.326 0.892
3 Ac 0.329 0.329 0.426
4 Ac 0.671 0.671 0.574
5 Ac 0.674 0.674 0.108
6 Ac 0.991 0.991 0.732
7 Si 0.167 0.167 0.335
8 Si 0.833 0.833 0.665
9 Te 0.500 0.500 0.000
10 Cl 0.163 0.163 0.836
11 Cl 0.500 0.500 0.500
12 Cl 0.837 0.837 0.164

Calculated values
- Space-group type: C2/m, No. 12

# 22
The following is a DFT calculation (PBE) of a geometry-optimized AcSm3Cl structure.

abc: 5.503 5.503 5.503
angles: 90.00 90.00 90.00
Sites, in units of the cell vectors:
1 Ac 0.000 0.000 0.000
2 Sm 0.000 0.500 0.500
3 Sm 0.500 0.000 0.500
4 Sm 0.500 0.500 0.000
5 Cl 0.500 0.500 0.500

Calculated values
- Space-group type: Pm-3m, No. 221

Q: Which energy relative to the elements, uncorrected values were calculated for the entries above? A: -1.41; -1.10; -1.42; -0.73; -0.90; -1.16; -0.64; -1.15; -1.00; -1.43; -1.56; -1.01; -1.58; -1.06; -0.57; -1.00; -1.16; -1.24; -1.31; -1.32; -1.26; -0.51, in eV/atom.
Q: Which spin magnetization values were calculated for the entries above? A: 0.0; 0.0; 0.0; 0.0; 0.0; 0.0; 0.0; 0.0; 0.0; 0.0; 0.0; 0.0; 0.0; 0.0; 0.6; 0.0; 0.4; 0.0; 0.0; 0.0; 0.0; 0.0, in μB per formula unit.